# 1
{
  "formula": "Zr3CoP2",
  "functional": "GGA-PBE",
  "state": "optimized geometry",
  "lattice": [[10.4959, 0.0000, 0.0000], [0.0000, 3.7043, 0.0000], [0.0000, 0.0000, 10.4182]],
  "species": ["Zr", "Zr", "Zr", "Zr", "Zr", "Zr", "Zr", "Zr", "Zr", "Zr", "Zr", "Zr", "Co", "Co", "Co", "Co", "P", "P", "P", "P", "P", "P", "P", "P"],
  "frac_coords": [[0.0519, 0.2500, 0.1215], [0.1200, 0.7500, 0.5643], [0.2065, 0.2500, 0.7999], [0.2935, 0.7500, 0.2999], [0.3800, 0.2500, 0.0643], [0.4481, 0.7500, 0.6215], [0.5519, 0.2500, 0.3785], [0.6200, 0.7500, 0.9357], [0.7065, 0.2500, 0.7001], [0.7935, 0.7500, 0.2001], [0.8800, 0.2500, 0.4357], [0.9481, 0.7500, 0.8785], [0.1315, 0.2500, 0.3727], [0.3685, 0.7500, 0.8727], [0.6315, 0.2500, 0.1273], [0.8685, 0.7500, 0.6273], [0.0278, 0.7500, 0.3120], [0.1904, 0.7500, 0.9969], [0.3096, 0.2500, 0.4969], [0.4722, 0.2500, 0.8120], [0.5278, 0.7500, 0.1880], [0.6904, 0.7500, 0.5031], [0.8096, 0.2500, 0.0031], [0.9722, 0.2500, 0.6880]],
  "formation_enthalpy_0k_kj_per_mol_fu": -643
}


# 2
{
  "formula": "Pu3Ga3Fe2",
  "functional": "GGA-PBE",
  "state": "optimized geometry",
  "lattice": [[7.5746, -2.2098, 0.0000], [7.5746, 2.2098, 0.0000], [-0.6947, 0.0000, 4.5479]],
  "species": ["Pu", "Pu", "Pu", "Ga", "Ga", "Ga", "Fe", "Fe"],
  "frac_coords": [[0.0000, 0.0000, 0.0000], [0.1591, 0.1591, 0.5674], [0.8409, 0.8409, 0.4326], [0.3649, 0.3649, 0.9401], [0.5000, 0.5000, 0.5000], [0.6351, 0.6351, 0.0599], [0.2115, 0.2115, 0.0849], [0.7885, 0.7885, 0.9151]],
  "formation_enthalpy_0k_kj_per_mol_fu": -233
}


# 3
{
  "formula": "AcHoAlPb",
  "functional": "GGA-PBE",
  "state": "optimized geometry",
  "lattice": [[0.0000, 3.9123, 3.9123], [3.9123, 0.0000, 3.9123], [3.9123, 3.9123, 0.0000]],
  "species": ["Ac", "Ho", "Al", "Pb"],
  "frac_coords": [[0.0000, 0.0000, 0.0000], [0.5000, 0.5000, 0.5000], [0.2500, 0.2500, 0.2500], [0.7500, 0.7500, 0.7500]],
  "formation_enthalpy_0k_kj_per_mol_fu": -108
}


# 4
{
  "formula": "TaTl",
  "functional": "GGA-PBE",
  "state": "optimized geometry",
  "lattice": [[3.0150, 0.0000, 0.0000], [0.0000, 3.0150, 0.0000], [0.0000, 0.0000, 4.5202]],
  "species": ["Ta", "Tl"],
  "frac_coords": [[0.0000, 0.0000, 0.0000], [0.5000, 0.5000, 0.5000]],
  "formation_enthalpy_0k_kj_per_mol_fu": 130
}


# 5
{
  "formula": "Ga3SiTc",
  "functional": "GGA-PBE",
  "state": "optimized geometry",
  "lattice": [[4.8085, 0.0000, 0.0000], [0.0000, 4.8085, 0.0000], [0.0000, 0.0000, 4.8085]],
  "species": ["Ga", "Ga", "Ga", "Si", "Tc"],
  "frac_coords": [[0.0000, 0.0000, 0.5000], [0.0000, 0.5000, 0.0000], [0.5000, 0.0000, 0.0000], [0.5000, 0.5000, 0.5000], [0.0000, 0.0000, 0.0000]],
  "formation_energy_uncorrected_ev_per_atom": 0.590
}


# 6
{
  "formula": "HfTi5Te2",
  "functional": "GGA-PBE",
  "state": "optimized geometry",
  "lattice": [[-1.7631, 4.1976, 5.2271], [1.7631, -4.1976, 5.2271], [1.7631, 4.1976, -5.2271]],
  "species": ["Hf", "Ti", "Ti", "Ti", "Ti", "Ti", "Te", "Te"],
  "frac_coords": [[0.0000, 0.0000, 0.0000], [0.1663, 0.3652, 0.8010], [0.4358, 0.6348, 0.8010], [0.5000, 0.0000, 0.5000], [0.5642, 0.3652, 0.1990], [0.8337, 0.6348, 0.1990], [0.2328, 0.7328, 0.5000], [0.7672, 0.2672, 0.5000]],
  "formation_energy_uncorrected_ev_per_atom": -0.245
}


E_tot (computed, eV per atom): -8.372 -8.926 -4.315 -6.438 -4.384 -7.209
Density (computed, kg/m³): 6470 11483 8681 15572 5007 7223